No. 1
PmPa3Mn4N12 after structural relaxation, computed with GGA-PBE.

Structure (CIF):
```
data_PmPa3Mn4N12
_cell_length_a 7.0517
_cell_length_b 7.0517
_cell_length_c 7.0517
_cell_angle_alpha 104.78
_cell_angle_beta 104.78
_cell_angle_gamma 104.78
_symmetry_space_group_name_H-M 'P 1'
_symmetry_Int_Tables_number 1
_symmetry_space_group_name_Hall 'P 1'
loop_
_atom_site_label
_atom_site_type_symbol
_atom_site_fract_x
_atom_site_fract_y
_atom_site_fract_z
Pm1 Pm 0.0000 0.0000 0.0000
Pa1 Pa 0.0000 0.5461 0.4539
Pa2 Pa 0.4539 0.0000 0.5461
Pa3 Pa 0.5461 0.4539 0.0000
Mn1 Mn 0.0469 0.5000 0.9531
Mn2 Mn 0.5000 0.5000 0.5000
Mn3 Mn 0.5000 0.9531 0.0469
Mn4 Mn 0.9531 0.0469 0.5000
N1 N 0.0282 0.6525 0.7969
N2 N 0.1096 0.8904 0.5000
N3 N 0.2031 0.3475 0.9718
N4 N 0.3443 0.6557 0.5000
N5 N 0.3475 0.9718 0.2031
N6 N 0.5000 0.1096 0.8904
N7 N 0.5000 0.3443 0.6557
N8 N 0.6525 0.7969 0.0282
N9 N 0.6557 0.5000 0.3443
N10 N 0.7969 0.0282 0.6525
N11 N 0.8904 0.5000 0.1096
N12 N 0.9718 0.2031 0.3475
```

calculated density: 6.6 g/cm3
symmetry: No. 155
formation energy without anion corrections: -585 meV/atom

---

No. 2
Tb2Pa4Ru9 after structural relaxation, computed with GGA-PBE.

Structure (CIF):
```
data_Tb2Pa4Ru9
_cell_length_a 4.4836
_cell_length_b 4.4836
_cell_length_c 17.1417
_cell_angle_alpha 90.00
_cell_angle_beta 90.00
_cell_angle_gamma 120.00
_symmetry_space_group_name_H-M 'P 1'
_symmetry_Int_Tables_number 1
_symmetry_space_group_name_Hall 'P 1'
loop_
_atom_site_label
_atom_site_type_symbol
_atom_site_fract_x
_atom_site_fract_y
_atom_site_fract_z
Tb1 Tb 0.3333 0.6667 0.2546
Tb2 Tb 0.6667 0.3333 0.7454
Pa1 Pa 0.3333 0.6667 0.6015
Pa2 Pa 0.3333 0.6667 0.9009
Pa3 Pa 0.6667 0.3333 0.0991
Pa4 Pa 0.6667 0.3333 0.3985
Ru1 Ru 0.0000 0.0000 0.0000
Ru2 Ru 0.0000 0.0000 0.1618
Ru3 Ru 0.0000 0.0000 0.3450
Ru4 Ru 0.0000 0.0000 0.6550
Ru5 Ru 0.0000 0.0000 0.8382
Ru6 Ru 0.3333 0.6667 0.0807
Ru7 Ru 0.3333 0.6667 0.4303
Ru8 Ru 0.6667 0.3333 0.5697
Ru9 Ru 0.6667 0.3333 0.9193
```

calculated density: 12.0 g/cm3
calculated formation energy: -0.35 eV per atom
symmetry: No. 164

---

No. 3
Pu5ThSe6 after structural relaxation, computed with GGA-PBE.

Structure (CIF):
```
data_Pu5ThSe6
_cell_length_a 7.1981
_cell_length_b 7.1981
_cell_length_c 7.1968
_cell_angle_alpha 99.60
_cell_angle_beta 99.60
_cell_angle_gamma 119.96
_symmetry_space_group_name_H-M 'P 1'
_symmetry_Int_Tables_number 1
_symmetry_space_group_name_Hall 'P 1'
loop_
_atom_site_label
_atom_site_type_symbol
_atom_site_fract_x
_atom_site_fract_y
_atom_site_fract_z
Pu1 Pu 0.0000 0.0000 0.0000
Pu2 Pu 0.1671 0.8329 0.5000
Pu3 Pu 0.3349 0.6651 0.0000
Pu4 Pu 0.6651 0.3349 0.0000
Pu5 Pu 0.8329 0.1671 0.5000
Th1 Th 0.5000 0.5000 0.5000
Se1 Se 0.0774 0.4154 0.2466
Se2 Se 0.2456 0.2456 0.7520
Se3 Se 0.4154 0.0774 0.2466
Se4 Se 0.5846 0.9226 0.7534
Se5 Se 0.7544 0.7544 0.2480
Se6 Se 0.9226 0.5846 0.7534
```

calculated density: 10.5 g/cm3
symmetry: No. 12
formation energy without anion corrections: -1527 meV/atom

---

No. 4
Mg3BeZn2Ir3 after structural relaxation, computed with GGA-PBE.

Structure (CIF):
```
data_Mg3BeZn2Ir3
_cell_length_a 6.9887
_cell_length_b 6.9887
_cell_length_c 3.0597
_cell_angle_alpha 90.00
_cell_angle_beta 90.00
_cell_angle_gamma 120.00
_symmetry_space_group_name_H-M 'P 1'
_symmetry_Int_Tables_number 1
_symmetry_space_group_name_Hall 'P 1'
loop_
_atom_site_label
_atom_site_type_symbol
_atom_site_fract_x
_atom_site_fract_y
_atom_site_fract_z
Mg1 Mg 0.0000 0.3759 0.0000
Mg2 Mg 0.3759 0.0000 0.0000
Mg3 Mg 0.6241 0.6241 0.0000
Be1 Be 0.0000 0.0000 0.0000
Zn1 Zn 0.3333 0.6667 0.5000
Zn2 Zn 0.6667 0.3333 0.5000
Ir1 Ir 0.0000 0.7396 0.5000
Ir2 Ir 0.2604 0.2604 0.5000
Ir3 Ir 0.7396 0.0000 0.5000
```

calculated density: 10.1 g/cm3
calculated formation energy: -0.41 eV per atom
symmetry: No. 189

---

No. 5
Pr3Dy2Mg3 after structural relaxation, computed with GGA-PBE.

Structure (CIF):
```
data_Pr3Dy2Mg3
_cell_length_a 11.8736
_cell_length_b 11.8736
_cell_length_c 11.8736
_cell_angle_alpha 161.44
_cell_angle_beta 152.81
_cell_angle_gamma 33.13
_symmetry_space_group_name_H-M 'P 1'
_symmetry_Int_Tables_number 1
_symmetry_space_group_name_Hall 'P 1'
loop_
_atom_site_label
_atom_site_type_symbol
_atom_site_fract_x
_atom_site_fract_y
_atom_site_fract_z
Pr1 Pr 0.0000 0.0000 0.0000
Pr2 Pr 0.3741 0.8741 0.5000
Pr3 Pr 0.6259 0.1259 0.5000
Dy1 Dy 0.2362 0.2362 0.0000
Dy2 Dy 0.7638 0.7638 0.0000
Mg1 Mg 0.1201 0.6201 0.5000
Mg2 Mg 0.5000 0.5000 0.0000
Mg3 Mg 0.8799 0.3799 0.5000
```

calculated density: 5.6 g/cm3
calculated formation energy: -0.07 eV per atom
symmetry: No. 71

---

No. 6
PuSb2As after structural relaxation, computed with GGA-PBE.

Structure (CIF):
```
data_PuSb2As
_cell_length_a 10.1336
_cell_length_b 10.1336
_cell_length_c 10.1336
_cell_angle_alpha 21.10
_cell_angle_beta 21.10
_cell_angle_gamma 21.10
_symmetry_space_group_name_H-M 'P 1'
_symmetry_Int_Tables_number 1
_symmetry_space_group_name_Hall 'P 1'
loop_
_atom_site_label
_atom_site_type_symbol
_atom_site_fract_x
_atom_site_fract_y
_atom_site_fract_z
Pu1 Pu 0.0000 0.0000 0.0000
Sb1 Sb 0.1045 0.1045 0.1045
Sb2 Sb 0.8955 0.8955 0.8955
As1 As 0.5000 0.5000 0.5000
```

calculated density: 7.9 g/cm3
symmetry: No. 166
formation energy without anion corrections: 274 meV/atom

---

- Among the records above, which one has the lowest calculated density?
  Pr3Dy2Mg3

---

- Which formula does entry 1 have?
  PmPa3Mn4N12

---

- The highest calculated density belongs to which entry?
  Tb2Pa4Ru9

---

- calculated density of number 5 (Pr3Dy2Mg3)?
  5.6 g/cm3